Entry 1:
Density functional theory data (SCAN) for a crystal of YBeMo2 relaxed with PBEsol.

```
4
Lattice="3.3147 0.0000 0.0000 0.0000 4.4675 0.0000 -0.8304 0.0000 4.6474" Properties=species:S:1:pos:R:3 pbc="T T T"
Y 0.0000 0.0000 0.0000
Be 1.2422 0.0000 2.3237
Mo 0.5054 2.2337 3.2502
Mo 1.9790 2.2337 1.3972
```

Calculated values
- Energy relative to the elements: 429 meV/atom
- Total energy: -100.3 eV/cell
- Symmetry: P2/m (10)

=====

Entry 2:
Density functional theory data (SCAN) for a crystal of CaAlRh relaxed with PBEsol.

```
3
Lattice="4.1867 0.0000 0.0000 -2.0933 3.6258 0.0000 0.0000 0.0000 4.1074" Properties=species:S:1:pos:R:3 pbc="T T T"
Ca 0.0000 0.0000 0.0000
Al 2.0933 1.2086 2.0537
Rh 0.0000 2.4172 2.0537
```

Calculated values
- Energy relative to the elements: -625 meV/atom
- Total energy: -53.1 eV/cell
- Symmetry: P-6m2 (187)

=====

Entry 3:
Density functional theory data (SCAN) for a crystal of IrWI2N relaxed with PBEsol.

```
5
Lattice="5.3140 0.0000 0.0000 0.0000 5.3140 0.0000 0.0000 0.0000 3.7262" Properties=species:S:1:pos:R:3 pbc="T T T"
Ir 0.0000 0.0000 0.0000
W 2.6570 2.6570 1.8631
I 0.0000 2.6570 1.8631
I 2.6570 0.0000 1.8631
N 2.6570 2.6570 0.0000
```

Calculated values
- Energy above the lowest structure with this stoichiometry: 0 meV per atom
- Total energy: -216.9 eV/cell
- Uncorrected formation energy: 1335.5 meV per atom
- Symmetry: P4/mmm (123)

=====

Entry 4:
Density functional theory data (SCAN) for a crystal of TlSnCl3 relaxed with PBEsol.

```
5
Lattice="5.4347 0.0000 0.0000 0.0000 5.4347 0.0000 0.0000 0.0000 5.4347" Properties=species:S:1:pos:R:3 pbc="T T T"
Tl 0.0000 0.0000 0.0000
Sn 2.7173 2.7173 2.7173
Cl 0.0000 2.7173 2.7173
Cl 2.7173 0.0000 2.7173
Cl 2.7173 2.7173 0.0000
```

Calculated values
- Total energy: -137.1 eV/cell
- Uncorrected formation energy: -975.3 meV per atom
- Symmetry: Pm-3m (221)

=====

Entry 5:
Density functional theory data (SCAN) for a crystal of ReHgPb3 relaxed with PBEsol.

```
5
Lattice="5.2827 0.0000 0.0000 0.0000 5.2827 0.0000 0.0000 0.0000 5.2827" Properties=species:S:1:pos:R:3 pbc="T T T"
Re 0.0000 0.0000 0.0000
Hg 2.6414 2.6414 2.6414
Pb 0.0000 0.0000 2.6414
Pb 0.0000 2.6414 0.0000
Pb 2.6414 0.0000 0.0000
```

Calculated values
- Energy relative to the elements: 394 meV/atom
- Total energy: -364.6 eV/cell
- Symmetry: Pm-3m (221)

=====

Entry 6:
Density functional theory data (SCAN) for a crystal of CrNi3H relaxed with PBEsol.

```
5
Lattice="3.5693 0.0000 0.0000 0.0000 3.5693 0.0000 0.0000 0.0000 3.5693" Properties=species:S:1:pos:R:3 pbc="T T T"
Cr 0.0000 0.0000 0.0000
Ni 0.0000 1.7846 1.7846
Ni 1.7846 0.0000 1.7846
Ni 1.7846 1.7846 0.0000
H 1.7846 1.7846 1.7846
```

Calculated values
- Total energy: -70.5 eV/cell
- Symmetry: Pm-3m (221)

=====

Question: Look up the total energy of the third one.
Answer: -216.9 eV/cell